Entry 1:
Ce5Ga4Fe | GGA-PBE | optimized geometry

Values from the calculation:
Theoretical density: 7.49 g cm⁻³
Crystal system: tetragonal
Symmetry: I4/mmm (139)
Formation energy from the elements: -2.4 eV/f.u.

a = 4.541 Å, b = 7.465 Å, c = 7.465 Å
α = 84.69°, β = 72.29°, γ = 72.29°
Fractional coordinates of all 10 atoms:
Ce: 0.810 0.382 0.000
Ce: 0.192 0.000 0.618
Ce: 0.810 0.000 0.382
Ce: 0.192 0.618 0.000
Ce: 0.501 0.000 0.000
Ga: 0.501 0.344 0.656
Ga: 0.845 0.656 0.656
Ga: 0.157 0.344 0.344
Ga: 0.501 0.656 0.344
Fe: 0.001 0.000 0.000

***

Entry 2:
NaTl3Sn3 | GGA-PBE | optimized geometry

Values from the calculation:
Distance to the lowest polymorph of the same formula: 0 meV/atom
Theoretical density: 8.09 g cm⁻³
Crystal system: trigonal
Symmetry: R-3 (148)
Formation energy from the elements: -0.3 eV/f.u.

a = 7.719 Å, b = 7.719 Å, c = 7.719 Å
α = 72.55°, β = 72.55°, γ = 72.55°
Fractional coordinates of all 14 atoms:
Na: 0.249 0.249 0.249
Na: 0.751 0.751 0.751
Tl: 0.616 0.455 0.175
Tl: 0.175 0.616 0.455
Tl: 0.455 0.175 0.616
Tl: 0.545 0.825 0.384
Tl: 0.825 0.384 0.545
Tl: 0.384 0.545 0.825
Sn: 0.693 0.095 0.968
Sn: 0.095 0.968 0.693
Sn: 0.968 0.693 0.095
Sn: 0.032 0.307 0.905
Sn: 0.905 0.032 0.307
Sn: 0.307 0.905 0.032